# NbIn3Rh

An optimized crystal structure of NbIn3Rh (PBE, the Alexandria database).

Its formation energy is 111.9 kJ/mol of atoms. The total moment comes out at 1.2 μB/f.u. As for the mass density: 6.0 g/cm³.

The structure belongs to space group Pm-3m (No. 221); the cell edges are 5.3022, 5.3022 and 5.3022 Å and the angles 90.00°, 90.00° and 90.00°. The inequivalent atoms are Nb at (0.0000, 0.0000, 0.0000), In at (0.0000, 0.0000, 0.5000) and Rh at (0.5000, 0.5000, 0.5000).